The following is a PBE calculation of crystalline SmGdSn2 at its relaxed geometry, from the Alexandria database.

Summary:
Formation energy from the elements ... -0.59 eV per atom
Space group ... Fm-3m
Excess energy over the best structure of this formula in the dataset ... 0.0953 eV/atom

abc: 5.424 5.424 5.424
angles: 60.00 60.00 60.00
Sites, in units of the cell vectors:
Gd (0.500, 0.500, 0.500)
Sn (0.250, 0.250, 0.250)
Sn (0.750, 0.750, 0.750)
Sm (0.000, 0.000, 0.000)

The following is a PBE calculation of crystalline Sm2GdSn at its relaxed geometry, from the Alexandria database.

Summary:
Formation energy from the elements ... -0.35 eV per atom
Space group ... P4/mmm
Excess energy over the best structure of this formula in the dataset ... 0.0984 eV/atom

abc: 4.220 4.220 6.783
angles: 90.00 90.00 90.00
Sites, in units of the cell vectors:
Gd (0.500, 0.500, 0.000)
Sn (0.500, 0.500, 0.500)
Sm (0.000, 0.000, 0.729)
Sm (0.000, 0.000, 0.271)

The following is a PBE calculation of crystalline Sm2GdSn at its relaxed geometry, from the Alexandria database.

Summary:
Formation energy from the elements ... -0.45 eV per atom
Space group ... P4/mmm
Excess energy over the best structure of this formula in the dataset ... 0.0000 eV/atom

abc: 4.859 4.895 4.895
angles: 90.00 90.00 90.00
Sites, in units of the cell vectors:
Gd (0.500, 0.500, 0.500)
Sn (0.500, 0.000, 0.000)
Sm (0.000, 0.000, 0.500)
Sm (0.000, 0.500, 0.000)

The following is a PBE calculation of crystalline SmGdThSn at its relaxed geometry, from the Alexandria database.

Summary:
Formation energy from the elements ... -0.17 eV per atom
Space group ... F-43m

abc: 5.487 5.487 5.487
angles: 60.00 60.00 60.00
Sites, in units of the cell vectors:
Gd (0.500, 0.500, 0.500)
Sm (0.000, 0.000, 0.000)
Th (0.750, 0.750, 0.750)
Sn (0.250, 0.250, 0.250)

The following is a PBE calculation of crystalline SmGdTmSn at its relaxed geometry, from the Alexandria database.

Summary:
Formation energy from the elements ... -0.27 eV per atom
Space group ... F-43m

abc: 5.442 5.442 5.442
angles: 60.00 60.00 60.00
Sites, in units of the cell vectors:
Gd (0.500, 0.500, 0.500)
Tm (0.750, 0.750, 0.750)
Sn (0.250, 0.250, 0.250)
Sm (0.000, 0.000, 0.000)

The following is a PBE calculation of crystalline SmGdZnSn at its relaxed geometry, from the Alexandria database.

Summary:
Formation energy from the elements ... -0.52 eV per atom
Space group ... F-43m

abc: 5.262 5.262 5.262
angles: 60.00 60.00 60.00
Sites, in units of the cell vectors:
Zn (0.250, 0.250, 0.250)
Gd (0.500, 0.500, 0.500)
Sn (0.750, 0.750, 0.750)
Sm (0.000, 0.000, 0.000)

The following is a PBE calculation of crystalline SrSmGd at its relaxed geometry, from the Alexandria database.

Summary:
Formation energy from the elements ... 0.10 eV per atom
Space group ... I4mm
Excess energy over the best structure of this formula in the dataset ... 0.0000 eV/atom

abc: 3.768 3.768 8.535
angles: 102.75 102.75 90.00
Sites, in units of the cell vectors:
Sr (0.999, 0.999, 0.999)
Gd (0.681, 0.681, 0.361)
Sm (0.320, 0.320, 0.640)

The following is a PBE calculation of crystalline SrSmGd2 at its relaxed geometry, from the Alexandria database.

Summary:
Formation energy from the elements ... 0.19 eV per atom
Space group ... R-3m
Excess energy over the best structure of this formula in the dataset ... 0.0961 eV/atom

abc: 3.646 3.646 13.022
angles: 81.95 81.95 60.00
Sites, in units of the cell vectors:
Sr (0.000, 0.000, 0.000)
Gd (0.092, 0.092, 0.723)
Gd (0.908, 0.908, 0.277)
Sm (0.500, 0.500, 0.500)